VASP calculation (PBE) on a relaxed Nd3Y4Tm2 crystal.

Results
ρ, kg/m³: 6348
Symmetry: C2/m, No. 12
ΔH_f (0 K), eV per formula unit: 0.201

Cell lengths 8.0278, 8.0278, 8.0229 Å; angles 107.36, 107.36, 36.89 degrees
With the nearest neighbours (Å) after each atom.
Sites, in units of the cell vectors:
1 Nd 0.0000 0.0000 0.0000  6 Y 3.59, 2 Nd 3.59, 4 Tm 3.60
2 Nd 0.1099 0.1099 0.6647  2 Nd 3.55-3.59, 6 Y 3.57-3.61, 4 Tm 3.58
3 Nd 0.8901 0.8901 0.3353  2 Nd 3.55-3.59, 6 Y 3.57-3.61, 4 Tm 3.58
4 Y 0.2214 0.2214 0.3338  4 Nd 3.57-3.61, 3 Tm 3.58-3.59, 5 Y 3.59-3.61
5 Y 0.3336 0.3336 0.9990  2 Tm 3.58-3.60, 5 Nd 3.59-3.61, 5 Y 3.59-3.61
6 Y 0.6664 0.6664 0.0010  2 Tm 3.58-3.60, 5 Nd 3.59-3.61, 5 Y 3.59-3.61
7 Y 0.7786 0.7786 0.6662  4 Nd 3.57-3.61, 3 Tm 3.58-3.59, 5 Y 3.59-3.61
8 Tm 0.4441 0.4441 0.6657  6 Nd 3.58-3.60, 5 Y 3.58-3.60, 1 Tm 3.58
9 Tm 0.5559 0.5559 0.3343  6 Nd 3.58-3.60, 5 Y 3.58-3.60, 1 Tm 3.58


VASP calculation (PBE) on a relaxed ReBrN2F crystal.

Results
Energy relative to the elements, uncorrected, eV/atom: 2.39
ρ, kg/m³: 7419
Symmetry: P4/mmm, No. 123

Cell lengths 4.1852, 4.1852, 4.0013 Å; angles 90.00, 90.00, 90.00 degrees
With the nearest neighbours (Å) after each atom.
Sites, in units of the cell vectors:
1 Re 0.0000 0.0000 0.0000  8 N 2.90, 4 F 2.96
2 Br 0.5000 0.5000 0.5000  2 F 2.00, 4 N 2.09
3 N 0.0000 0.5000 0.5000  2 Br 2.09
4 N 0.5000 0.0000 0.5000  2 Br 2.09
5 F 0.5000 0.5000 0.0000  2 Br 2.00